Entry 1:
An optimized crystal structure of CsKGeTe3. Source: the Alexandria database, functional PBE.

The structure in extended XYZ format:
```
12
Lattice="6.6189 -4.3517 0.0000 6.6189 4.3517 0.0000 -4.1689 0.0000 9.2304" Properties=species:S:1:pos:R:3 pbc="T T T"
Cs 1.2560 0.0000 1.9744
Cs 7.8129 0.0000 7.2560
K 4.5345 2.0091 4.6152
K 4.5345 -2.0091 4.6152
Ge 5.9403 0.0000 1.0713
Ge 3.1286 0.0000 8.1591
Te 4.5079 2.1916 1.1545
Te 1.7509 0.0000 5.9347
Te 4.5610 2.1916 8.0759
Te 4.5079 -2.1916 1.1545
Te 7.3181 0.0000 3.2957
Te 4.5610 -2.1916 8.0759
```

Properties
For the formation energy (no corrections), the calculation gives -0.54 eV per atom. The density of states at the Fermi level comes out at 0.4953 states/eV/atom. The value obtained for the raw total energy is -3.2040 eV/atom.

Entry 2:
An optimized crystal structure of GeSO4. Source: the Alexandria database, functional PBE.

The structure in extended XYZ format:
```
12
Lattice="4.0983 -2.7571 0.0000 4.0983 2.7571 0.0000 -1.0143 0.0000 7.7403" Properties=species:S:1:pos:R:3 pbc="T T T"
Ge 2.0491 1.3785 0.0000
Ge 1.5420 -1.3785 3.8702
S 3.3375 1.9927 5.8052
S 3.8447 -1.9927 1.9351
O 0.4817 0.0853 5.8758
O 0.9888 -0.0853 2.0056
O 3.4583 1.1591 4.5787
O 3.2168 1.1591 7.0318
O 3.9654 -1.1591 0.7086
O 3.7239 -1.1591 3.1616
O 6.1934 0.0853 5.7347
O 6.7006 -0.0853 1.8646
```

Properties
For the formation energy (no corrections), the calculation gives -1.16 eV per atom. The density of states at the Fermi level comes out at 0.0000 states/eV/atom. The value obtained for the raw total energy is -5.9237 eV/atom.

Entry 3:
An optimized crystal structure of Tb4Nd6Th. Source: the Alexandria database, functional PBE.

The structure in extended XYZ format:
```
22
Lattice="2.9605 -4.8641 0.0000 2.9605 4.8641 0.0000 0.0000 0.0000 25.9524" Properties=species:S:1:pos:R:3 pbc="T T T"
Tb 2.9605 4.3413 16.1771
Tb 2.9605 4.3413 22.7515
Tb 2.9605 1.4406 14.0833
Tb 2.9605 1.4406 24.8453
Tb 2.9605 -1.4406 1.1071
Tb 2.9605 -1.4406 11.8691
Tb 2.9605 -4.3413 3.2009
Tb 2.9605 -4.3413 9.7753
Nd 0.0000 0.0000 0.0000
Nd 0.0000 0.0000 12.9762
Nd 2.9605 4.2693 19.4643
Nd 2.9605 2.0117 2.6183
Nd 2.9605 2.0117 10.3579
Nd 2.9605 1.0927 17.6874
Nd 2.9605 1.0927 21.2412
Nd 2.9605 -1.0927 4.7112
Nd 2.9605 -1.0927 8.2650
Nd 2.9605 -2.0117 15.5945
Nd 2.9605 -2.0117 23.3341
Nd 2.9605 -4.2693 6.4881
Th 2.9605 2.1329 6.4881
Th 2.9605 -2.1329 19.4643
```

Properties
The density of states at the Fermi level comes out at 1.6912 states/eV/atom. The calculation puts the formation energy at 141 meV per atom. The value obtained for the raw total energy is -4.8182 eV/atom.

Entry 4:
An optimized crystal structure of ZrCdNi3. Source: the Alexandria database, functional PBE.

The structure in extended XYZ format:
```
5
Lattice="4.6260 0.0000 0.0000 0.0000 4.6260 0.0000 0.0000 0.0000 4.6260" Properties=species:S:1:pos:R:3 pbc="T T T"
Zr 0.0000 0.0000 0.0000
Cd 2.3130 2.3130 2.3130
Ni 0.0000 0.0000 2.3130
Ni 0.0000 2.3130 0.0000
Ni 2.3130 0.0000 0.0000
```

Properties
For the excess energy over the best structure of this formula in the dataset, the calculation gives 0 meV per atom. The density of states at the Fermi level comes out at 0.6251 states/eV/atom. The calculation puts the formation energy at 975 meV per atom. The value obtained for the raw total energy is -4.3866 eV/atom.

Entry 5:
An optimized crystal structure of Pr4CoCl5. Source: the Alexandria database, functional PBE.

The structure in extended XYZ format:
```
10
Lattice="9.3868 -2.0067 0.0000 9.3868 2.0067 0.0000 -2.4255 0.0000 8.1106" Properties=species:S:1:pos:R:3 pbc="T T T"
Pr -0.6305 0.0000 2.2860
Pr 5.5479 0.0000 3.1444
Pr 10.8002 0.0000 4.9662
Pr 16.9787 0.0000 5.8246
Co 8.1741 0.0000 4.0553
Cl 1.0027 0.0000 6.9542
Cl 2.3316 0.0000 3.0351
Cl 9.3868 0.0000 0.0000
Cl 14.0165 0.0000 5.0754
Cl 15.3454 0.0000 1.1564
```

Properties
For the formation energy (no corrections), the calculation gives -1.58 eV per atom. The density of states at the Fermi level comes out at 0.4358 states/eV/atom. The value obtained for the raw total energy is -5.1249 eV/atom.

Entry 6:
An optimized crystal structure of TbAl2Os. Source: the Alexandria database, functional PBE.

The structure in extended XYZ format:
```
4
Lattice="2.1260 1.2274 5.0187 -2.1260 1.2274 5.0187 0.0000 -2.4549 5.0187" Properties=species:S:1:pos:R:3 pbc="T T T"
Tb 0.0000 0.0000 0.0000
Al 0.0000 0.0000 3.1308
Al 0.0000 0.0000 11.9252
Os 0.0000 0.0000 7.5280
```

Properties
The density of states at the Fermi level comes out at 0.4410 states/eV/atom. The calculation puts the formation energy at -417 meV per atom. The value obtained for the raw total energy is -6.2532 eV/atom.

Entry 7:
An optimized crystal structure of CaPm2Nd6Y. Source: the Alexandria database, functional PBE.

The structure in extended XYZ format:
```
20
Lattice="4.6155 -7.8388 0.0000 4.6155 7.8388 0.0000 -1.5765 0.0000 9.8631" Properties=species:S:1:pos:R:3 pbc="T T T"
Ca 3.4332 6.3034 7.3973
Ca 4.2214 -6.3034 2.4658
Pm 0.7829 0.7911 9.4493
Pm 1.5712 -0.7911 4.5178
Pm 6.0834 0.7911 5.3453
Pm 6.8716 -0.7911 0.4137
Nd 0.0373 1.6732 6.1502
Nd 2.5148 3.5598 1.7523
Nd 0.8255 -1.6732 1.2187
Nd 3.2150 2.7890 5.4443
Nd 3.6513 2.7890 9.3503
Nd 5.9280 3.5598 3.1792
Nd 1.7266 -3.5598 6.6839
Nd 4.0033 -2.7890 0.5128
Nd 4.4395 -2.7890 4.4188
Nd 6.8291 1.6732 8.6444
Nd 5.1398 -3.5598 8.1107
Nd 7.6173 -1.6732 3.7129
Y 4.2214 0.3580 2.4658
Y 3.4332 -0.3580 7.3973
```

Properties
The density of states at the Fermi level comes out at 1.4786 states/eV/atom. The calculation puts the formation energy at 122 meV per atom. The value obtained for the raw total energy is -4.5350 eV/atom.

Entry 8:
An optimized crystal structure of Al3Tl2. Source: the Alexandria database, functional PBE.

The structure in extended XYZ format:
```
5
Lattice="4.1812 0.0000 0.0000 -2.0906 3.6210 0.0000 0.0000 0.0000 8.3271" Properties=species:S:1:pos:R:3 pbc="T T T"
Al 0.0000 0.0000 0.0000
Al 0.0000 2.4140 3.5886
Al 2.0906 1.2070 4.7384
Tl 0.0000 2.4140 6.5742
Tl 2.0906 1.2070 1.7528
```

Properties
For the excess energy over the best structure of this formula in the dataset, the calculation gives 86 meV per atom. The density of states at the Fermi level comes out at 0.5030 states/eV/atom. The calculation puts the formation energy at 365 meV per atom. The value obtained for the raw total energy is -2.8269 eV/atom.